# 1
# PBE-GGA Cs2K4RbNa2, relaxed
data_Cs2K4RbNa2
_chemical_formula_sum 'Cs2 K4 Rb1 Na2'
_symmetry_space_group_name_H-M 'P -1'
_symmetry_Int_Tables_number 2
_symmetry_space_group_name_Hall '-P 1'
_cell_length_a 8.004
_cell_length_b 9.187
_cell_length_c 10.941
_cell_angle_alpha 66.41
_cell_angle_beta 86.22
_cell_angle_gamma 68.37
loop_
_atom_site_label
_atom_site_type_symbol
_atom_site_fract_x
_atom_site_fract_y
_atom_site_fract_z
Cs1 Cs 0.245 0.017 0.337
K1 K 0.258 0.984 0.891
K2 K 0.409 0.508 0.781
Rb1 Rb 0.000 0.500 0.500
Na1 Na 0.088 0.582 0.086
# - energy of formation from the pure elements (eV/atom) = 0.023
# - VASP energy (eV per formula unit) = -9.5
# - N(E_F) (states/eV per atom) = 0.72

=====

# 2
# PBE-GGA TaO2F2, relaxed
data_TaO2F2
_chemical_formula_sum 'Ta1 O2 F2'
_symmetry_space_group_name_H-M 'P 4/m m m'
_symmetry_Int_Tables_number 123
_symmetry_space_group_name_Hall '-P 4 2'
_cell_length_a 3.592
_cell_length_b 3.592
_cell_length_c 3.900
_cell_angle_alpha 90.00
_cell_angle_beta 90.00
_cell_angle_gamma 90.00
loop_
_atom_site_label
_atom_site_type_symbol
_atom_site_fract_x
_atom_site_fract_y
_atom_site_fract_z
Ta1 Ta 0.000 0.000 0.000
O1 O 0.000 0.500 0.500
F1 F 0.500 0.500 0.000
F2 F 0.500 0.500 0.500
# - offset from the most stable computed form (meV/atom) = 2432
# - uncorrected formation energy (eV per formula unit) = 1.2
# - VASP energy (eV per formula unit) = -24.3
# - N(E_F) (states/eV per atom) = 0.69

=====

# 3
# PBE-GGA Ca5Hg3I12, relaxed
data_Ca5Hg3I12
_chemical_formula_sum 'Ca40 Hg24 I96'
_symmetry_space_group_name_H-M 'I a -3 d'
_symmetry_Int_Tables_number 230
_symmetry_space_group_name_Hall '-I 4bd 2c 3'
_cell_length_a 19.510
_cell_length_b 19.510
_cell_length_c 19.510
_cell_angle_alpha 90.00
_cell_angle_beta 90.00
_cell_angle_gamma 90.00
loop_
_atom_site_label
_atom_site_type_symbol
_atom_site_fract_x
_atom_site_fract_y
_atom_site_fract_z
Ca1 Ca 0.000 0.000 0.000
Ca2 Ca 0.000 0.250 0.375
Hg1 Hg 0.000 0.250 0.125
I1 I 0.028 0.061 0.647
# - uncorrected formation energy (eV per formula unit) = -21.2
# - VASP energy (eV per formula unit) = -50.7
# - N(E_F) (states/eV per atom) = 0.85